[1]
Computed, not measured: crystalline Y7Er2Th at its relaxed geometry at the PBE level of DFT.

Cell lengths 6.168, 6.180, 9.426 Å; angles 109.01, 102.43, 99.77 degrees
Positions (direct):
1 Y 0.000 0.000 0.000
2 Y 0.098 0.199 0.699
3 Y 0.206 0.400 0.401
4 Y 0.303 0.606 0.103
5 Y 0.697 0.394 0.897
6 Y 0.794 0.600 0.599
7 Y 0.902 0.801 0.301
8 Er 0.402 0.804 0.799
9 Er 0.598 0.196 0.201
10 Th 0.500 0.000 0.500

Results
As for the crystal system: triclinic. Its formation energy is 0.030 eV per atom. As for the total energy: -6.15 eV/atom. Its space group is P-1, No. 2. For the excess energy over the best structure of this formula in the dataset, the calculation gives 0 meV per atom.

***

[2]
Computed, not measured: crystalline TbPaPd2 at its relaxed geometry at the PBE level of DFT.

Cell lengths 3.430, 3.430, 7.385 Å; angles 90.00, 90.00, 90.00 degrees
Positions (direct):
1 Tb 0.000 0.000 0.000
2 Pa 0.000 0.000 0.500
3 Pd 0.500 0.500 0.249
4 Pd 0.500 0.500 0.751

Results
As for the crystal system: tetragonal. Its formation energy is -0.576 eV per atom. As for the total energy: -6.70 eV/atom. Its space group is P4/mmm, No. 123. For the excess energy over the best structure of this formula in the dataset, the calculation gives 0 meV per atom.